This record from Alexandria via LeMat-Bulk describes a relaxed structure of MgSnSCl2. The functional is PBE.

abc: 5.268 5.268 5.199
angles: 90.00 90.00 90.00
Sites, in units of the cell vectors:
Mg 0.000 0.000 0.000
Sn 0.500 0.500 0.500
S 0.500 0.500 0.000
Cl 0.000 0.500 0.500
Cl 0.500 0.000 0.500

Properties
Energy relative to the lowest polymorph listed for this composition ... 528 meV/atom
Calculated volume ... 28.9 Å³ per atom
ΔE_f (raw) ... -0.40 eV/atom
Total magnetic moment ... 0.00 Bohr magnetons per cell

=====

This record from Alexandria via LeMat-Bulk describes a relaxed structure of MgSnSCl2. The functional is PBE.

abc: 4.508 4.508 11.303
angles: 90.00 90.00 90.00
Sites, in units of the cell vectors:
Mg 0.000 0.000 0.000
Sn 0.000 0.000 0.500
S 0.500 0.500 0.500
Cl 0.000 0.500 0.000
Cl 0.500 0.000 0.000

Properties
Energy relative to the lowest polymorph listed for this composition ... 276 meV/atom
Calculated volume ... 45.9 Å³ per atom
ΔE_f (raw) ... -0.65 eV/atom
Total magnetic moment ... 0.00 Bohr magnetons per cell

=====

This record from Alexandria via LeMat-Bulk describes a relaxed structure of SrMgS2Cl. The functional is PBE.

abc: 4.845 4.845 5.045
angles: 90.00 90.00 90.00
Sites, in units of the cell vectors:
Sr 0.000 0.000 0.000
Mg 0.500 0.500 0.500
S 0.000 0.500 0.500
S 0.500 0.000 0.500
Cl 0.500 0.500 0.000

Properties
Energy relative to the lowest polymorph listed for this composition ... 0 meV/atom
Calculated volume ... 23.7 Å³ per atom
ΔE_f (raw) ... -1.37 eV/atom
Total magnetic moment ... 0.00 Bohr magnetons per cell

=====

This record from Alexandria via LeMat-Bulk describes a relaxed structure of SrMgS2Cl. The functional is PBE.

abc: 5.552 5.552 5.389
angles: 90.00 90.00 90.00
Sites, in units of the cell vectors:
Sr 0.000 0.000 0.000
Mg 0.500 0.500 0.500
S 0.000 0.500 0.000
S 0.500 0.000 0.000
Cl 0.000 0.000 0.500

Properties
Energy relative to the lowest polymorph listed for this composition ... 914 meV/atom
Calculated volume ... 33.2 Å³ per atom
ΔE_f (raw) ... -0.46 eV/atom
Total magnetic moment ... 0.99 Bohr magnetons per cell

=====

This record from Alexandria via LeMat-Bulk describes a relaxed structure of SrMgSCl2. The functional is PBE.

abc: 5.390 5.390 5.860
angles: 90.00 90.00 90.00
Sites, in units of the cell vectors:
Sr 0.000 0.000 0.000
Mg 0.500 0.500 0.500
S 0.000 0.000 0.500
Cl 0.000 0.500 0.000
Cl 0.500 0.000 0.000

Properties
Energy relative to the lowest polymorph listed for this composition ... 793 meV/atom
Calculated volume ... 34.0 Å³ per atom
ΔE_f (raw) ... -1.00 eV/atom
Total magnetic moment ... 0.00 Bohr magnetons per cell

=====

This record from Alexandria via LeMat-Bulk describes a relaxed structure of SrMgSCl2. The functional is PBE.

abc: 4.832 4.832 5.108
angles: 90.00 90.00 90.00
Sites, in units of the cell vectors:
Sr 0.000 0.000 0.000
Mg 0.500 0.500 0.500
S 0.500 0.500 0.000
Cl 0.000 0.500 0.500
Cl 0.500 0.000 0.500

Properties
Energy relative to the lowest polymorph listed for this composition ... 0 meV/atom
Calculated volume ... 23.9 Å³ per atom
ΔE_f (raw) ... -1.79 eV/atom
Total magnetic moment ... 0.00 Bohr magnetons per cell

=====

This record from Alexandria via LeMat-Bulk describes a relaxed structure of MgTcSCl2. The functional is PBE.

abc: 4.938 4.938 4.515
angles: 90.00 90.00 90.00
Sites, in units of the cell vectors:
Mg 0.000 0.000 0.000
Tc 0.500 0.500 0.500
S 0.500 0.500 0.000
Cl 0.000 0.500 0.500
Cl 0.500 0.000 0.500

Properties
Energy relative to the lowest polymorph listed for this composition ... 0 meV/atom
Calculated volume ... 22.0 Å³ per atom
ΔE_f (raw) ... -0.20 eV/atom
Total magnetic moment ... 0.55 Bohr magnetons per cell

=====

This record from Alexandria via LeMat-Bulk describes a relaxed structure of MgTcS2Cl. The functional is PBE.

abc: 4.603 4.603 5.012
angles: 90.00 90.00 90.00
Sites, in units of the cell vectors:
Mg 0.000 0.000 0.000
Tc 0.500 0.500 0.500
S 0.000 0.500 0.500
S 0.500 0.000 0.500
Cl 0.500 0.500 0.000

Properties
Energy relative to the lowest polymorph listed for this composition ... 0 meV/atom
Calculated volume ... 21.2 Å³ per atom
ΔE_f (raw) ... -0.14 eV/atom
Total magnetic moment ... 0.00 Bohr magnetons per cell

=====

This record from Alexandria via LeMat-Bulk describes a relaxed structure of MgTcSCl2. The functional is PBE.

abc: 4.658 4.658 5.241
angles: 90.00 90.00 90.00
Sites, in units of the cell vectors:
Mg 0.000 0.000 0.000
Tc 0.500 0.500 0.500
S 0.000 0.000 0.500
Cl 0.000 0.500 0.000
Cl 0.500 0.000 0.000

Properties
Energy relative to the lowest polymorph listed for this composition ... 102 meV/atom
Calculated volume ... 22.7 Å³ per atom
ΔE_f (raw) ... -0.10 eV/atom
Total magnetic moment ... 5.03 Bohr magnetons per cell

=====

This record from Alexandria via LeMat-Bulk describes a relaxed structure of MgTcS2Cl. The functional is PBE.

abc: 4.850 4.850 4.649
angles: 90.00 90.00 90.00
Sites, in units of the cell vectors:
Mg 0.000 0.000 0.000
Tc 0.500 0.500 0.500
S 0.000 0.500 0.000
S 0.500 0.000 0.000
Cl 0.000 0.000 0.500

Properties
Energy relative to the lowest polymorph listed for this composition ... 450 meV/atom
Calculated volume ... 21.9 Å³ per atom
ΔE_f (raw) ... 0.31 eV/atom
Total magnetic moment ... 4.07 Bohr magnetons per cell

=====

This record from Alexandria via LeMat-Bulk describes a relaxed structure of MgTiSCl2. The functional is PBE.

abc: 4.842 4.842 4.837
angles: 90.00 90.00 90.00
Sites, in units of the cell vectors:
Mg 0.000 0.000 0.000
Ti 0.500 0.500 0.500
S 0.500 0.500 0.000
Cl 0.000 0.500 0.500
Cl 0.500 0.000 0.500

Properties
Energy relative to the lowest polymorph listed for this composition ... 0 meV/atom
Calculated volume ... 22.7 Å³ per atom
ΔE_f (raw) ... -0.91 eV/atom
Total magnetic moment ... 1.54 Bohr magnetons per cell

=====

This record from Alexandria via LeMat-Bulk describes a relaxed structure of MgTiS2Cl. The functional is PBE.

abc: 4.804 4.804 4.609
angles: 90.00 90.00 90.00
Sites, in units of the cell vectors:
Mg 0.000 0.000 0.000
Ti 0.500 0.500 0.500
S 0.000 0.500 0.000
S 0.500 0.000 0.000
Cl 0.000 0.000 0.500

Properties
Energy relative to the lowest polymorph listed for this composition ... 528 meV/atom
Calculated volume ... 21.3 Å³ per atom
ΔE_f (raw) ... -0.31 eV/atom
Total magnetic moment ... 1.20 Bohr magnetons per cell

=====

This record from Alexandria via LeMat-Bulk describes a relaxed structure of MgTiSCl2. The functional is PBE.

abc: 4.632 4.632 5.225
angles: 90.00 90.00 90.00
Sites, in units of the cell vectors:
Mg 0.000 0.000 0.000
Ti 0.500 0.500 0.500
S 0.000 0.000 0.500
Cl 0.000 0.500 0.000
Cl 0.500 0.000 0.000

Properties
Energy relative to the lowest polymorph listed for this composition ... 257 meV/atom
Calculated volume ... 22.4 Å³ per atom
ΔE_f (raw) ... -0.65 eV/atom
Total magnetic moment ... 2.00 Bohr magnetons per cell

=====

This record from Alexandria via LeMat-Bulk describes a relaxed structure of MgTiS2Cl. The functional is PBE.

abc: 4.770 4.770 4.694
angles: 90.00 90.00 90.00
Sites, in units of the cell vectors:
Mg 0.000 0.000 0.000
Ti 0.500 0.500 0.500
S 0.000 0.500 0.500
S 0.500 0.000 0.500
Cl 0.500 0.500 0.000

Properties
Energy relative to the lowest polymorph listed for this composition ... 0 meV/atom
Calculated volume ... 21.4 Å³ per atom
ΔE_f (raw) ... -0.84 eV/atom
Total magnetic moment ... 0.00 Bohr magnetons per cell

=====

This record from Alexandria via LeMat-Bulk describes a relaxed structure of MgTlS2Cl. The functional is PBE.

abc: 5.140 5.140 5.204
angles: 90.00 90.00 90.00
Sites, in units of the cell vectors:
Mg 0.000 0.000 0.000
Tl 0.500 0.500 0.500
S 0.000 0.500 0.500
S 0.500 0.000 0.500
Cl 0.500 0.500 0.000

Properties
Energy relative to the lowest polymorph listed for this composition ... 533 meV/atom
Calculated volume ... 27.5 Å³ per atom
ΔE_f (raw) ... 0.07 eV/atom
Total magnetic moment ... 0.00 Bohr magnetons per cell

=====

This record from Alexandria via LeMat-Bulk describes a relaxed structure of MgTlS2Cl. The functional is PBE.

abc: 4.968 4.968 5.107
angles: 90.00 90.00 90.00
Sites, in units of the cell vectors:
Mg 0.000 0.000 0.000
Tl 0.500 0.500 0.500
S 0.000 0.500 0.000
S 0.500 0.000 0.000
Cl 0.000 0.000 0.500

Properties
Energy relative to the lowest polymorph listed for this composition ... 0 meV/atom
Calculated volume ... 25.2 Å³ per atom
ΔE_f (raw) ... -0.47 eV/atom
Total magnetic moment ... 1.70 Bohr magnetons per cell

=====

This record from Alexandria via LeMat-Bulk describes a relaxed structure of MgVSCl2. The functional is PBE.

abc: 4.786 4.786 4.771
angles: 90.00 90.00 90.00
Sites, in units of the cell vectors:
Mg 0.000 0.000 0.000
V 0.500 0.500 0.500
S 0.500 0.500 0.000
Cl 0.000 0.500 0.500
Cl 0.500 0.000 0.500

Properties
Energy relative to the lowest polymorph listed for this composition ... 0 meV/atom
Calculated volume ... 21.9 Å³ per atom
ΔE_f (raw) ... -0.68 eV/atom
Total magnetic moment ... 2.59 Bohr magnetons per cell

=====

This record from Alexandria via LeMat-Bulk describes a relaxed structure of MgVSCl2. The functional is PBE.

abc: 4.634 4.634 5.228
angles: 90.00 90.00 90.00
Sites, in units of the cell vectors:
Mg 0.000 0.000 0.000
V 0.500 0.500 0.500
S 0.000 0.000 0.500
Cl 0.000 0.500 0.000
Cl 0.500 0.000 0.000

Properties
Energy relative to the lowest polymorph listed for this composition ... 230 meV/atom
Calculated volume ... 22.5 Å³ per atom
ΔE_f (raw) ... -0.45 eV/atom
Total magnetic moment ... 3.00 Bohr magnetons per cell

=====

This record from Alexandria via LeMat-Bulk describes a relaxed structure of MgVS2Cl. The functional is PBE.

abc: 4.831 4.831 4.619
angles: 90.00 90.00 90.00
Sites, in units of the cell vectors:
Mg 0.000 0.000 0.000
V 0.500 0.500 0.500
S 0.000 0.500 0.000
S 0.500 0.000 0.000
Cl 0.000 0.000 0.500

Properties
Energy relative to the lowest polymorph listed for this composition ... 503 meV/atom
Calculated volume ... 21.6 Å³ per atom
ΔE_f (raw) ... -0.05 eV/atom
Total magnetic moment ... 2.36 Bohr magnetons per cell

=====

This record from Alexandria via LeMat-Bulk describes a relaxed structure of MgVS2Cl. The functional is PBE.

abc: 4.672 4.672 4.737
angles: 90.00 90.00 90.00
Sites, in units of the cell vectors:
Mg 0.000 0.000 0.000
V 0.500 0.500 0.500
S 0.000 0.500 0.500
S 0.500 0.000 0.500
Cl 0.500 0.500 0.000

Properties
Energy relative to the lowest polymorph listed for this composition ... 0 meV/atom
Calculated volume ... 20.7 Å³ per atom
ΔE_f (raw) ... -0.55 eV/atom
Total magnetic moment ... 1.88 Bohr magnetons per cell

=====

This record from Alexandria via LeMat-Bulk describes a relaxed structure of MgWSCl2. The functional is PBE.

abc: 4.560 4.560 5.364
angles: 90.00 90.00 90.00
Sites, in units of the cell vectors:
Mg 0.000 0.000 0.000
W 0.500 0.500 0.500
S 0.000 0.000 0.500
Cl 0.000 0.500 0.000
Cl 0.500 0.000 0.000

Properties
Energy relative to the lowest polymorph listed for this composition ... 375 meV/atom
Calculated volume ... 22.3 Å³ per atom
ΔE_f (raw) ... 0.30 eV/atom
Total magnetic moment ... 4.00 Bohr magnetons per cell

=====

This record from Alexandria via LeMat-Bulk describes a relaxed structure of MgWS2Cl. The functional is PBE.

abc: 4.841 4.841 4.453
angles: 90.00 90.00 90.00
Sites, in units of the cell vectors:
Mg 0.000 0.000 0.000
W 0.500 0.500 0.500
S 0.000 0.500 0.000
S 0.500 0.000 0.000
Cl 0.000 0.000 0.500

Properties
Energy relative to the lowest polymorph listed for this composition ... 748 meV/atom
Calculated volume ... 20.9 Å³ per atom
ΔE_f (raw) ... 0.60 eV/atom
Total magnetic moment ... 3.01 Bohr magnetons per cell

=====

This record from Alexandria via LeMat-Bulk describes a relaxed structure of MgWS2Cl. The functional is PBE.

abc: 4.673 4.673 4.960
angles: 90.00 90.00 90.00
Sites, in units of the cell vectors:
Mg 0.000 0.000 0.000
W 0.500 0.500 0.500
S 0.000 0.500 0.500
S 0.500 0.000 0.500
Cl 0.500 0.500 0.000

Properties
Energy relative to the lowest polymorph listed for this composition ... 0 meV/atom
Calculated volume ... 21.7 Å³ per atom
ΔE_f (raw) ... -0.14 eV/atom
Total magnetic moment ... 0.00 Bohr magnetons per cell

=====

This record from Alexandria via LeMat-Bulk describes a relaxed structure of MgWSCl2. The functional is PBE.

abc: 4.897 4.897 4.649
angles: 90.00 90.00 90.00
Sites, in units of the cell vectors:
Mg 0.000 0.000 0.000
W 0.500 0.500 0.500
S 0.500 0.500 0.000
Cl 0.000 0.500 0.500
Cl 0.500 0.000 0.500

Properties
Energy relative to the lowest polymorph listed for this composition ... 0 meV/atom
Calculated volume ... 22.3 Å³ per atom
ΔE_f (raw) ... -0.07 eV/atom
Total magnetic moment ... 0.21 Bohr magnetons per cell

=====

This record from Alexandria via LeMat-Bulk describes a relaxed structure of YMgSCl2. The functional is PBE.

abc: 4.683 4.683 5.145
angles: 90.00 90.00 90.00
Sites, in units of the cell vectors:
Y 0.000 0.000 0.000
Mg 0.500 0.500 0.500
S 0.500 0.500 0.000
Cl 0.000 0.500 0.500
Cl 0.500 0.000 0.500

Properties
Energy relative to the lowest polymorph listed for this composition ... 99 meV/atom
Calculated volume ... 22.6 Å³ per atom
ΔE_f (raw) ... -1.22 eV/atom
Total magnetic moment ... 0.76 Bohr magnetons per cell

=====

This record from Alexandria via LeMat-Bulk describes a relaxed structure of YMgS2Cl. The functional is PBE.

abc: 4.879 4.879 4.527
angles: 90.00 90.00 90.00
Sites, in units of the cell vectors:
Y 0.000 0.000 0.000
Mg 0.500 0.500 0.500
S 0.000 0.500 0.500
S 0.500 0.000 0.500
Cl 0.500 0.500 0.000

Properties
Energy relative to the lowest polymorph listed for this composition ... 0 meV/atom
Calculated volume ... 21.6 Å³ per atom
ΔE_f (raw) ... -1.23 eV/atom
Total magnetic moment ... 0.00 Bohr magnetons per cell

=====

This record from Alexandria via LeMat-Bulk describes a relaxed structure of YMgSCl2. The functional is PBE.

abc: 5.280 5.280 5.301
angles: 90.00 90.00 90.00
Sites, in units of the cell vectors:
Y 0.000 0.000 0.000
Mg 0.500 0.500 0.500
S 0.000 0.000 0.500
Cl 0.000 0.500 0.000
Cl 0.500 0.000 0.000

Properties
Energy relative to the lowest polymorph listed for this composition ... 0 meV/atom
Calculated volume ... 29.5 Å³ per atom
ΔE_f (raw) ... -1.32 eV/atom
Total magnetic moment ... 0.74 Bohr magnetons per cell

=====

This record from Alexandria via LeMat-Bulk describes a relaxed structure of YMgS2Cl. The functional is PBE.

abc: 5.280 5.280 5.086
angles: 90.00 90.00 90.00
Sites, in units of the cell vectors:
Y 0.000 0.000 0.000
Mg 0.500 0.500 0.500
S 0.000 0.500 0.000
S 0.500 0.000 0.000
Cl 0.000 0.000 0.500

Properties
Energy relative to the lowest polymorph listed for this composition ... 189 meV/atom
Calculated volume ... 28.4 Å³ per atom
ΔE_f (raw) ... -1.04 eV/atom
Total magnetic moment ... 0.00 Bohr magnetons per cell

=====

This record from Alexandria via LeMat-Bulk describes a relaxed structure of MgZnS2Cl. The functional is PBE.

abc: 4.662 4.662 4.918
angles: 90.00 90.00 90.00
Sites, in units of the cell vectors:
Mg 0.000 0.000 0.000
Zn 0.500 0.500 0.500
S 0.000 0.500 0.500
S 0.500 0.000 0.500
Cl 0.500 0.500 0.000

Properties
Energy relative to the lowest polymorph listed for this composition ... 0 meV/atom
Calculated volume ... 21.4 Å³ per atom
ΔE_f (raw) ... -0.22 eV/atom
Total magnetic moment ... 0.00 Bohr magnetons per cell